No. 1
Density functional theory data (PBE) for crystalline AsOsRh2 at its relaxed geometry.

abc: 2.8214 3.6892 5.6680
angles: 90.00 90.00 90.00
With the nearest neighbours (Å) after each atom.
Atoms (fractional coordinates):
Os1 0.5000 0.5000 0.7724  6 Rh 2.62-2.90, 2 Os 2.82, 4 As 2.85
As1 0.0000 0.0000 0.4796  6 Rh 2.63-2.88, 2 As 2.82, 4 Os 2.85
Rh1 0.0000 0.0000 0.9880  4 Os 2.62, 2 As 2.79-2.88, 6 Rh 2.79-2.82
Rh2 0.5000 0.5000 0.2601  4 As 2.63, 2 Os 2.76-2.90, 6 Rh 2.79-2.82

Properties
E_form	0.202	eV/atom
V	59	Å³/cell
VASP energy	-7.444	eV per atom



No. 2
Density functional theory data (PBE) for crystalline Ce6GaCl8 at its relaxed geometry.

abc: 6.9780 6.9780 10.8686
angles: 71.28 71.28 60.00
With the nearest neighbours (Å) after each atom.
Atoms (fractional coordinates):
Ce1 0.9445 0.6030 0.1668  5 Cl 2.85-2.89, 1 Ga 2.92
Cl1 0.4350 0.1117 0.6654  3 Ce 2.87-2.89
Cl2 0.6666 0.6666 0.0001  6 Ce 2.85
Cl3 0.2122 0.5650 0.3346  3 Ce 2.87-2.89
Cl4 0.1117 0.7878 0.6654  3 Ce 2.87-2.89
Ce2 0.7144 0.0555 0.8332  5 Cl 2.85-2.89, 1 Ga 2.92
Ce3 0.6030 0.2856 0.1668  5 Cl 2.85-2.89, 1 Ga 2.92
Ce4 0.0555 0.3970 0.8332  5 Cl 2.85-2.89, 1 Ga 2.92
Cl5 0.5650 0.8883 0.3346  3 Ce 2.87-2.89
Cl6 0.7878 0.4350 0.6654  3 Ce 2.87-2.89
Ga1 0.0000 0.0000 0.0000  6 Ce 2.92
Cl7 0.3334 0.3334 0.9999  6 Ce 2.85
Ce5 0.2856 0.9445 0.1668  5 Cl 2.85-2.89, 1 Ga 2.92
Ce6 0.3970 0.7144 0.8332  5 Cl 2.85-2.89, 1 Ga 2.92
Cl8 0.8883 0.2122 0.3346  3 Ce 2.87-2.89

Properties
V	426	Å³/cell
VASP energy	-5.190	eV per atom



No. 3
Density functional theory data (PBE) for crystalline CrNiAs at its relaxed geometry.

abc: 3.9874 3.9874 3.9874
angles: 60.00 60.00 60.00
With the nearest neighbours (Å) after each atom.
Atoms (fractional coordinates):
Ni1 0.0000 0.0000 0.0000  4 Cr 2.44
As1 0.5000 0.5000 0.5000  4 Cr 2.44
Cr1 0.7500 0.7500 0.7500  4 As 2.44, 4 Ni 2.44

Properties
E_form	0.080	eV/atom
V	45	Å³/cell
VASP energy	-6.605	eV per atom



No. 4
Density functional theory data (PBE) for crystalline TmAl2Zn2 at its relaxed geometry.

abc: 2.9549 7.8128 7.8128
angles: 90.00 90.00 90.00
With the nearest neighbours (Å) after each atom.
Atoms (fractional coordinates):
Zn1 0.5000 0.1692 0.3308  6 Al 2.69-2.77, 2 Zn 2.95
Zn2 0.5000 0.6692 0.1692  6 Al 2.69-2.77, 2 Zn 2.95
Al1 0.0000 0.8729 0.3729  6 Zn 2.69-2.77, 3 Al 2.81-2.95
Tm1 0.0000 0.0000 0.0000  2 Tm 2.95, 4 Al 3.08, 8 Zn 3.26
Tm2 0.0000 0.5000 0.5000  2 Tm 2.95, 4 Al 3.08, 8 Zn 3.26
Al2 0.0000 0.6271 0.8729  6 Zn 2.69-2.77, 3 Al 2.81-2.95
Al3 0.0000 0.1271 0.6271  6 Zn 2.69-2.77, 3 Al 2.81-2.95
Zn3 0.5000 0.8308 0.6692  6 Al 2.69-2.77, 2 Zn 2.95
Zn4 0.5000 0.3308 0.8308  6 Al 2.69-2.77, 2 Zn 2.95
Al4 0.0000 0.3729 0.1271  6 Zn 2.69-2.77, 3 Al 2.81-2.95

Properties
E_form	-0.118	eV/atom
V	180	Å³/cell
VASP energy	-3.019	eV per atom



No. 5
Density functional theory data (PBE) for crystalline ZrSc2TlS at its relaxed geometry.

abc: 5.1563 5.5058 5.1563
angles: 90.00 90.00 90.00
With the nearest neighbours (Å) after each atom.
Atoms (fractional coordinates):
Tl1 0.0000 0.5000 0.0000  2 Zr 2.75
Zr1 0.0000 0.0000 0.0000  4 Sc 2.58, 2 Tl 2.75
Sc1 0.0000 0.0000 0.5000  2 Zr 2.58
S1 0.5000 0.5000 0.5000  4 Tl 3.65, 8 Sc 3.77
Sc2 0.5000 0.0000 0.0000  2 Zr 2.58

Properties
V	146	Å³/cell
offset from the most stable computed form	1483	meV per atom
VASP energy	-4.760	eV per atom



No. 6
Density functional theory data (PBE) for crystalline CaSc2Pb at its relaxed geometry.

abc: 8.6171 8.6171 6.8888
angles: 51.29 51.29 90.00
With the nearest neighbours (Å) after each atom.
Atoms (fractional coordinates):
Sc1 0.0834 0.6250 0.2500  2 Pb 2.92
Pb1 0.0000 0.0000 0.0000  4 Sc 2.92, 2 Ca 3.21
Sc2 0.3750 0.3334 0.7500  2 Pb 2.92
Sc3 0.8750 0.9166 0.7500  2 Pb 2.92
Sc4 0.6666 0.1250 0.2500  2 Pb 2.92
Ca1 0.2500 0.7500 0.5000  2 Pb 3.21, 4 Sc 3.41
Pb2 0.7500 0.2500 0.5000  4 Sc 2.92, 2 Ca 3.21
Ca2 0.5000 0.5000 0.0000  2 Pb 3.21, 4 Sc 3.41

Properties
E_form	0.121	eV/atom
V	239	Å³/cell
VASP energy	-4.472	eV per atom